# 1
# LiNpCl2, optimized geometry, DFT PBE-GGA
# - Final energy: -5.733 eV/atom
# - Formation energy from raw total energies: -25.3 kcal/mol of atoms
# - Volume: 89 Å³/f.u.
# - M_tot: 1.1220 μB per atom
data_LiNpCl2
_symmetry_space_group_name_H-M 'P 1'
_symmetry_Int_Tables_number 1
_cell_length_a 3.496
_cell_length_b 3.496
_cell_length_c 8.611
_cell_angle_alpha 78.29
_cell_angle_beta 78.29
_cell_angle_gamma 60.00
loop_
_symmetry_equiv_pos_as_xyz
'x,y,z'
loop_
_atom_site_label
_atom_site_fract_x
_atom_site_fract_y
_atom_site_fract_z
Np1 0.000 0.000 0.000
Li1 0.500 0.500 0.500
Cl1 0.108 0.108 0.677
Cl2 0.892 0.892 0.323



# 2
# KNa10Cd3, optimized geometry, DFT PBE-GGA
# - Final energy: -1.209 eV/atom
# - Volume: 525 Å³/f.u.
# - M_tot: 0.0000 μB per atom
data_KNa10Cd3
_symmetry_space_group_name_H-M 'P 1'
_symmetry_Int_Tables_number 1
_cell_length_a 11.411
_cell_length_b 11.411
_cell_length_c 11.411
_cell_angle_alpha 60.00
_cell_angle_beta 60.00
_cell_angle_gamma 60.00
loop_
_symmetry_equiv_pos_as_xyz
'x,y,z'
loop_
_atom_site_label
_atom_site_fract_x
_atom_site_fract_y
_atom_site_fract_z
K1 0.250 0.250 0.250
K2 0.750 0.750 0.750
Na1 0.000 0.000 0.340
Na2 0.000 0.340 0.000
Na3 0.340 0.000 0.000
Na4 0.660 0.340 0.000
Na5 0.387 0.387 0.387
Na6 0.162 0.613 0.613
Na7 0.387 0.838 0.387
Na8 0.660 0.000 0.340
Na9 0.387 0.387 0.838
Na10 0.838 0.387 0.387
Na11 0.613 0.613 0.162
Na12 0.000 0.000 0.660
Na13 0.340 0.660 0.000
Na14 0.000 0.660 0.340
Na15 0.000 0.340 0.660
Na16 0.660 0.000 0.000
Na17 0.613 0.613 0.613
Na18 0.000 0.660 0.000
Na19 0.613 0.162 0.613
Na20 0.340 0.000 0.660
Cd1 0.731 0.731 0.269
Cd2 0.731 0.269 0.731
Cd3 0.269 0.731 0.731
Cd4 0.269 0.269 0.731
Cd5 0.731 0.269 0.269
Cd6 0.269 0.731 0.269



# 3
# K2Te2Se3, optimized geometry, DFT PBE-GGA
# - Final energy: -3.273 eV/atom
# - Formation energy from raw total energies: -13.1 kcal/mol of atoms
# - Volume: 256 Å³/f.u.
# - Energy above the most stable polymorph in this dataset: 0.000 eV per atom
# - M_tot: 0.0000 μB per atom
data_K2Te2Se3
_symmetry_space_group_name_H-M 'P 1'
_symmetry_Int_Tables_number 1
_cell_length_a 4.985
_cell_length_b 7.038
_cell_length_c 7.845
_cell_angle_alpha 101.11
_cell_angle_beta 108.53
_cell_angle_gamma 90.00
loop_
_symmetry_equiv_pos_as_xyz
'x,y,z'
loop_
_atom_site_label
_atom_site_fract_x
_atom_site_fract_y
_atom_site_fract_z
K1 0.356 0.303 0.713
K2 0.644 0.697 0.287
Te1 0.094 0.195 0.188
Te2 0.906 0.805 0.812
Se1 0.000 0.500 0.000
Se2 0.667 0.205 0.333
Se3 0.333 0.795 0.667